# FePb3F | Alexandria via LeMat-Bulk | GGA+U | relaxed
# Calculated total energy = -3.34 eV/atom
# DOS(E_F) = 0.381 states/eV per atom
# Spin magnetization = 0.000 μB/cell
data_FePb3F
_chemical_formula_sum 'Fe1 Pb3 F1'
_cell_length_a 5.030
_cell_length_b 5.030
_cell_length_c 5.030
_cell_angle_alpha 90.00
_cell_angle_beta 90.00
_cell_angle_gamma 90.00
_space_group_name_H-M_alt 'P m -3 m'
_space_group_IT_number 221
_space_group_name_Hall '-P 4 2 3'
loop_
_atom_site_label
_atom_site_fract_x
_atom_site_fract_y
_atom_site_fract_z
_atom_site_occupancy
Fe1 0.000 0.000 0.000 1
Pb1 0.000 0.000 0.500 1
F1 0.500 0.500 0.500 1